Record 1
The following is a PBE calculation of Be3CuPd after structural relaxation, from Alexandria.

Cell: 3.9477 3.9477 3.9477 Å, 90.00 90.00 90.00°
Last column: nearest neighbours and their distance in Å.
Atoms (fractional coordinates):
Be 0.0000 0.5000 0.0000  2 Cu 1.97
Be 0.0000 0.0000 0.5000  2 Cu 1.97
Be 0.5000 0.0000 0.0000  2 Cu 1.97
Cu 0.0000 0.0000 0.0000  6 Be 1.97
Pd 0.5000 0.5000 0.5000  12 Be 2.79

Its calculated density is 5.3 g cm⁻³. The final energy comes out at -3.64 eV/atom. The space-group type is Pm-3m, No. 221. Its calculated formation energy is 452 meV/atom.

***

Record 2
The following is a PBE calculation of Re5Os3 after structural relaxation, from Alexandria.

Cell: 7.6554 7.6554 4.8686 Å, 90.00 90.00 60.00°
Last column: nearest neighbours and their distance in Å.
Atoms (fractional coordinates):
Re 0.7967 0.2033 0.2500  6 Re 2.70-2.89, 5 Os 2.76-2.93
Re 0.2033 0.7967 0.7500  6 Re 2.70-2.89, 5 Os 2.76-2.93
Re 0.2033 0.0000 0.2500  6 Re 2.70-2.89, 5 Os 2.76-2.93
Re 0.0000 0.2033 0.7500  6 Re 2.70-2.89, 5 Os 2.76-2.93
Re 0.6667 0.6667 0.0000  2 Re 2.43, 6 Os 2.60
Re 0.6667 0.6667 0.5000  2 Re 2.43, 6 Os 2.60
Re 0.3333 0.3333 0.0000  2 Re 2.43, 6 Os 2.60
Re 0.3333 0.3333 0.5000  2 Re 2.43, 6 Os 2.60
Re 0.7967 0.0000 0.7500  6 Re 2.70-2.89, 5 Os 2.76-2.93
Re 0.0000 0.7967 0.2500  6 Re 2.70-2.89, 5 Os 2.76-2.93
Os 0.5831 0.4169 0.7500  7 Re 2.60-2.91, 2 Os 2.75
Os 0.4169 0.5831 0.2500  7 Re 2.60-2.91, 2 Os 2.75
Os 0.4169 0.0000 0.7500  7 Re 2.60-2.91, 2 Os 2.75
Os 0.0000 0.4169 0.2500  7 Re 2.60-2.91, 2 Os 2.75
Os 0.5831 0.0000 0.2500  7 Re 2.60-2.91, 2 Os 2.75
Os 0.0000 0.5831 0.7500  7 Re 2.60-2.91, 2 Os 2.75

Its calculated density is 20.2 g cm⁻³. The final energy comes out at -11.61 eV/atom. The space-group type is P6_3/mcm, No. 193. Its calculated formation energy is 378 meV/atom.

***

Record 3
The following is a PBE calculation of YTeAs3 after structural relaxation, from Alexandria.

Cell: 5.2228 5.2228 5.2228 Å, 90.00 90.00 90.00°
Last column: nearest neighbours and their distance in Å.
Atoms (fractional coordinates):
Y 0.5000 0.5000 0.5000  12 As 3.69
As 0.0000 0.5000 0.0000  2 Te 2.61
As 0.0000 0.0000 0.5000  2 Te 2.61
As 0.5000 0.0000 0.0000  2 Te 2.61
Te 0.0000 0.0000 0.0000  6 As 2.61

Its calculated density is 5.1 g cm⁻³. The final energy comes out at -4.32 eV/atom. The space-group type is Pm-3m, No. 221.

***

no.,D(E_F) (states/eV per cell)
1,1.7
2,13.9
3,3.2